[1]
Density functional theory data (PBE-GGA) for crystalline MnSiTc2 at its relaxed geometry.

Raw formation energy = -0.14 eV/atom
Electronic total energy = -71.8 eV per cell

Cell and atoms, written as CIF:
```
data_MnSiTc2
_chemical_formula_sum 'Mn2 Si2 Tc4'
_cell_length_a 2.9896
_cell_length_b 4.2265
_cell_length_c 8.2606
_cell_angle_alpha 90.00
_cell_angle_beta 90.00
_cell_angle_gamma 90.00
_space_group_name_H-M_alt 'I m m m'
_space_group_IT_number 71
_space_group_name_Hall '-I 2 2'
loop_
_atom_site_label
_atom_site_type_symbol
_atom_site_fract_x
_atom_site_fract_y
_atom_site_fract_z
Mn1 Mn 0.0000 0.0000 0.0000
Si1 Si 0.0000 0.0000 0.5000
Tc1 Tc 0.0000 0.5000 0.2398
```

---

[2]
Density functional theory data (PBE-GGA) for crystalline MnSiTc2 at its relaxed geometry.

Raw formation energy = -0.09 eV/atom
Electronic total energy = -71.4 eV per cell

Cell and atoms, written as CIF:
```
data_MnSiTc2
_chemical_formula_sum 'Mn2 Si2 Tc4'
_cell_length_a 8.6316
_cell_length_b 2.7875
_cell_length_c 4.6127
_cell_angle_alpha 90.00
_cell_angle_beta 103.39
_cell_angle_gamma 90.00
_space_group_name_H-M_alt 'C 1 2/m 1'
_space_group_IT_number 12
_space_group_name_Hall '-C 2y'
loop_
_atom_site_label
_atom_site_type_symbol
_atom_site_fract_x
_atom_site_fract_y
_atom_site_fract_z
Mn1 Mn 0.0000 0.0000 0.0000
Si1 Si 0.0000 0.5000 0.5000
Tc1 Tc 0.2474 0.0000 0.7523
```

---

[3]
Density functional theory data (PBE-GGA) for crystalline Mn2SiTc at its relaxed geometry.

Raw formation energy = -0.02 eV/atom
Electronic total energy = -102.6 eV per cell

Cell and atoms, written as CIF:
```
data_Mn2SiTc
_chemical_formula_sum 'Mn6 Si3 Tc3'
_cell_length_a 2.6457
_cell_length_b 2.6457
_cell_length_c 24.3226
_cell_angle_alpha 90.00
_cell_angle_beta 90.00
_cell_angle_gamma 120.00
_space_group_name_H-M_alt 'R -3 m'
_space_group_IT_number 166
_space_group_name_Hall '-R 3 2"'
loop_
_atom_site_label
_atom_site_type_symbol
_atom_site_fract_x
_atom_site_fract_y
_atom_site_fract_z
Mn1 Mn 0.0000 0.0000 0.2465
Si1 Si 0.0000 0.0000 0.5000
Tc1 Tc 0.0000 0.0000 0.0000
```

---

[4]
Density functional theory data (PBE-GGA) for crystalline MnSiTc2 at its relaxed geometry.

Raw formation energy = -0.25 eV/atom
Electronic total energy = -36.3 eV per cell

Cell and atoms, written as CIF:
```
data_MnSiTc2
_chemical_formula_sum 'Mn1 Si1 Tc2'
_cell_length_a 2.9520
_cell_length_b 2.9520
_cell_length_c 6.0608
_cell_angle_alpha 90.00
_cell_angle_beta 90.00
_cell_angle_gamma 90.00
_space_group_name_H-M_alt 'P 4/m m m'
_space_group_IT_number 123
_space_group_name_Hall '-P 4 2'
loop_
_atom_site_label
_atom_site_type_symbol
_atom_site_fract_x
_atom_site_fract_y
_atom_site_fract_z
Mn1 Mn 0.0000 0.0000 0.0000
Si1 Si 0.0000 0.0000 0.5000
Tc1 Tc 0.5000 0.5000 0.2580
```

---

[5]
Density functional theory data (PBE-GGA) for crystalline MnSiTc2 at its relaxed geometry.

Raw formation energy = -0.15 eV/atom
Electronic total energy = -35.9 eV per cell

Cell and atoms, written as CIF:
```
data_MnSiTc2
_chemical_formula_sum 'Mn1 Si1 Tc2'
_cell_length_a 2.7518
_cell_length_b 3.9978
_cell_length_c 4.9773
_cell_angle_alpha 90.00
_cell_angle_beta 106.04
_cell_angle_gamma 90.00
_space_group_name_H-M_alt 'P 1 m 1'
_space_group_IT_number 6
_space_group_name_Hall 'P -2y'
loop_
_atom_site_label
_atom_site_type_symbol
_atom_site_fract_x
_atom_site_fract_y
_atom_site_fract_z
Mn1 Mn 0.0000 0.0000 0.0000
Si1 Si 0.1437 0.5000 0.2775
Tc1 Tc 0.4026 0.5000 0.7999
Tc2 Tc 0.7446 0.0000 0.4809
```

---

[6]
Density functional theory data (PBE-GGA) for crystalline MnSiTc4 at its relaxed geometry.

Raw formation energy = 0.45 eV/atom
Electronic total energy = -213.3 eV per cell

Cell and atoms, written as CIF:
```
data_MnSiTc4
_chemical_formula_sum 'Mn4 Si4 Tc16'
_cell_length_a 7.1786
_cell_length_b 7.1786
_cell_length_c 7.1786
_cell_angle_alpha 90.00
_cell_angle_beta 90.00
_cell_angle_gamma 90.00
_space_group_name_H-M_alt 'F -4 3 m'
_space_group_IT_number 216
_space_group_name_Hall 'F -4 2 3'
loop_
_atom_site_label
_atom_site_type_symbol
_atom_site_fract_x
_atom_site_fract_y
_atom_site_fract_z
Mn1 Mn 0.0000 0.0000 0.0000
Si1 Si 0.2500 0.2500 0.7500
Tc1 Tc 0.1250 0.1250 0.3750
```

---

[7]
Density functional theory data (PBE-GGA) for crystalline Mn2SiTc at its relaxed geometry.

Raw formation energy = -0.16 eV/atom
Electronic total energy = -69.5 eV per cell

Cell and atoms, written as CIF:
```
data_Mn2SiTc
_chemical_formula_sum 'Mn4 Si2 Tc2'
_cell_length_a 3.6601
_cell_length_b 3.6601
_cell_length_c 7.4638
_cell_angle_alpha 90.00
_cell_angle_beta 90.00
_cell_angle_gamma 90.00
_space_group_name_H-M_alt 'I 4/m m m'
_space_group_IT_number 139
_space_group_name_Hall '-I 4 2'
loop_
_atom_site_label
_atom_site_type_symbol
_atom_site_fract_x
_atom_site_fract_y
_atom_site_fract_z
Mn1 Mn 0.0000 0.5000 0.2500
Si1 Si 0.0000 0.0000 0.0000
Tc1 Tc 0.0000 0.0000 0.5000
```

---

[8]
Density functional theory data (PBE-GGA) for crystalline MnSiTc2 at its relaxed geometry.

Raw formation energy = -0.04 eV/atom
Electronic total energy = -106.4 eV per cell

Cell and atoms, written as CIF:
```
data_MnSiTc2
_chemical_formula_sum 'Mn3 Si3 Tc6'
_cell_length_a 2.7307
_cell_length_b 2.7307
_cell_length_c 24.9599
_cell_angle_alpha 90.00
_cell_angle_beta 90.00
_cell_angle_gamma 120.00
_space_group_name_H-M_alt 'R 3 m'
_space_group_IT_number 160
_space_group_name_Hall 'R 3 -2"'
loop_
_atom_site_label
_atom_site_type_symbol
_atom_site_fract_x
_atom_site_fract_y
_atom_site_fract_z
Mn1 Mn 0.0000 0.0000 0.0000
Si1 Si 0.0000 0.0000 0.7423
Tc1 Tc 0.0000 0.0000 0.2468
Tc2 Tc 0.0000 0.0000 0.4933
```

---

[9]
Density functional theory data (PBE-GGA) for crystalline MnSiTc2 at its relaxed geometry.

Raw formation energy = 0.08 eV/atom
Electronic total energy = -105.0 eV per cell

Cell and atoms, written as CIF:
```
data_MnSiTc2
_chemical_formula_sum 'Mn3 Si3 Tc6'
_cell_length_a 3.9725
_cell_length_b 3.9725
_cell_length_c 12.8700
_cell_angle_alpha 90.00
_cell_angle_beta 90.00
_cell_angle_gamma 120.00
_space_group_name_H-M_alt 'R 3 m'
_space_group_IT_number 160
_space_group_name_Hall 'R 3 -2"'
loop_
_atom_site_label
_atom_site_type_symbol
_atom_site_fract_x
_atom_site_fract_y
_atom_site_fract_z
Mn1 Mn 0.0000 0.0000 0.0000
Si1 Si 0.0000 0.0000 0.1900
Tc1 Tc 0.0000 0.0000 0.5989
Tc2 Tc 0.0000 0.0000 0.7867
```

---

[10]
Density functional theory data (PBE-GGA) for crystalline MnSiTc2 at its relaxed geometry.

Raw formation energy = -0.14 eV/atom
Electronic total energy = -71.8 eV per cell

Cell and atoms, written as CIF:
```
data_MnSiTc2
_chemical_formula_sum 'Mn2 Si2 Tc4'
_cell_length_a 3.6778
_cell_length_b 3.6778
_cell_length_c 7.9114
_cell_angle_alpha 90.00
_cell_angle_beta 90.00
_cell_angle_gamma 90.00
_space_group_name_H-M_alt 'I -4 m 2'
_space_group_IT_number 119
_space_group_name_Hall 'I -4 -2'
loop_
_atom_site_label
_atom_site_type_symbol
_atom_site_fract_x
_atom_site_fract_y
_atom_site_fract_z
Mn1 Mn 0.0000 0.0000 0.0000
Si1 Si 0.0000 0.5000 0.7500
Tc1 Tc 0.0000 0.0000 0.5000
Tc2 Tc 0.0000 0.5000 0.2500
```

---

[11]
Density functional theory data (PBE-GGA) for crystalline MnSiTc2 at its relaxed geometry.

Raw formation energy = -0.13 eV/atom
Electronic total energy = -35.8 eV per cell

Cell and atoms, written as CIF:
```
data_MnSiTc2
_chemical_formula_sum 'Mn1 Si1 Tc2'
_cell_length_a 2.7620
_cell_length_b 3.8929
_cell_length_c 4.9205
_cell_angle_alpha 90.00
_cell_angle_beta 90.00
_cell_angle_gamma 90.00
_space_group_name_H-M_alt 'P m m 2'
_space_group_IT_number 25
_space_group_name_Hall 'P 2 -2'
loop_
_atom_site_label
_atom_site_type_symbol
_atom_site_fract_x
_atom_site_fract_y
_atom_site_fract_z
Mn1 Mn 0.0000 0.0000 0.0000
Si1 Si 0.5000 0.5000 0.2198
Tc1 Tc 0.0000 0.0000 0.4659
Tc2 Tc 0.5000 0.5000 0.7290
```

---

[12]
Density functional theory data (PBE-GGA) for crystalline MnSiTc2 at its relaxed geometry.

Raw formation energy = 0.06 eV/atom
Electronic total energy = -70.2 eV per cell

Cell and atoms, written as CIF:
```
data_MnSiTc2
_chemical_formula_sum 'Mn2 Si2 Tc4'
_cell_length_a 3.0554
_cell_length_b 4.5384
_cell_length_c 8.0020
_cell_angle_alpha 90.00
_cell_angle_beta 90.00
_cell_angle_gamma 90.00
_space_group_name_H-M_alt 'C m m m'
_space_group_IT_number 65
_space_group_name_Hall '-C 2 2'
loop_
_atom_site_label
_atom_site_type_symbol
_atom_site_fract_x
_atom_site_fract_y
_atom_site_fract_z
Mn1 Mn 0.0000 0.0000 0.0000
Si1 Si 0.0000 0.0000 0.5000
Tc1 Tc 0.0000 0.5000 0.2595
```

---

[13]
Density functional theory data (PBE-GGA) for crystalline Mn2SiTc at its relaxed geometry.

Raw formation energy = -0.13 eV/atom
Electronic total energy = -34.6 eV per cell

Cell and atoms, written as CIF:
```
data_Mn2SiTc
_chemical_formula_sum 'Mn2 Si1 Tc1'
_cell_length_a 2.6198
_cell_length_b 3.8975
_cell_length_c 5.1137
_cell_angle_alpha 90.00
_cell_angle_beta 102.30
_cell_angle_gamma 90.00
_space_group_name_H-M_alt 'P 1 m 1'
_space_group_IT_number 6
_space_group_name_Hall 'P -2y'
loop_
_atom_site_label
_atom_site_type_symbol
_atom_site_fract_x
_atom_site_fract_y
_atom_site_fract_z
Mn1 Mn 0.0000 0.0000 0.0000
Mn2 Mn 0.4065 0.5000 0.7957
Si1 Si 0.2291 0.5000 0.2827
Tc1 Tc 0.8010 0.0000 0.4877
```

---

[14]
Density functional theory data (PBE-GGA) for crystalline Mn4SiTc at its relaxed geometry.

Raw formation energy = 0.04 eV/atom
Electronic total energy = -208.8 eV per cell

Cell and atoms, written as CIF:
```
data_Mn4SiTc
_chemical_formula_sum 'Mn16 Si4 Tc4'
_cell_length_a 6.5534
_cell_length_b 6.5534
_cell_length_c 6.5534
_cell_angle_alpha 90.00
_cell_angle_beta 90.00
_cell_angle_gamma 90.00
_space_group_name_H-M_alt 'F -4 3 m'
_space_group_IT_number 216
_space_group_name_Hall 'F -4 2 3'
loop_
_atom_site_label
_atom_site_type_symbol
_atom_site_fract_x
_atom_site_fract_y
_atom_site_fract_z
Mn1 Mn 0.1230 0.1230 0.1230
Si1 Si 0.2500 0.2500 0.7500
Tc1 Tc 0.0000 0.0000 0.5000
```

---

[15]
Density functional theory data (PBE-GGA) for crystalline Mn2SiTc at its relaxed geometry.

Raw formation energy = 0.02 eV/atom
Electronic total energy = -102.2 eV per cell

Cell and atoms, written as CIF:
```
data_Mn2SiTc
_chemical_formula_sum 'Mn6 Si3 Tc3'
_cell_length_a 2.6700
_cell_length_b 2.6700
_cell_length_c 23.9349
_cell_angle_alpha 90.00
_cell_angle_beta 90.00
_cell_angle_gamma 120.00
_space_group_name_H-M_alt 'R 3 m'
_space_group_IT_number 160
_space_group_name_Hall 'R 3 -2"'
loop_
_atom_site_label
_atom_site_type_symbol
_atom_site_fract_x
_atom_site_fract_y
_atom_site_fract_z
Mn1 Mn 0.0000 0.0000 0.0000
Mn2 Mn 0.0000 0.0000 0.2548
Si1 Si 0.0000 0.0000 0.5088
Tc1 Tc 0.0000 0.0000 0.7537
```

---

[16]
Density functional theory data (PBE-GGA) for crystalline MnSiTc2 at its relaxed geometry.

Raw formation energy = -0.09 eV/atom
Electronic total energy = -142.8 eV per cell

Cell and atoms, written as CIF:
```
data_MnSiTc2
_chemical_formula_sum 'Mn4 Si4 Tc8'
_cell_length_a 5.9301
_cell_length_b 5.9301
_cell_length_c 5.9301
_cell_angle_alpha 90.00
_cell_angle_beta 90.00
_cell_angle_gamma 90.00
_space_group_name_H-M_alt 'F -4 3 m'
_space_group_IT_number 216
_space_group_name_Hall 'F -4 2 3'
loop_
_atom_site_label
_atom_site_type_symbol
_atom_site_fract_x
_atom_site_fract_y
_atom_site_fract_z
Mn1 Mn 0.0000 0.0000 0.0000
Si1 Si 0.2500 0.2500 0.7500
Tc1 Tc 0.0000 0.0000 0.5000
Tc2 Tc 0.2500 0.2500 0.2500
```

---

[17]
Density functional theory data (PBE-GGA) for crystalline Mn2SiTc at its relaxed geometry.

Raw formation energy = -0.11 eV/atom
Electronic total energy = -69.2 eV per cell

Cell and atoms, written as CIF:
```
data_Mn2SiTc
_chemical_formula_sum 'Mn4 Si2 Tc2'
_cell_length_a 5.1371
_cell_length_b 7.2730
_cell_length_c 2.7013
_cell_angle_alpha 90.00
_cell_angle_beta 90.00
_cell_angle_gamma 90.00
_space_group_name_H-M_alt 'C m m m'
_space_group_IT_number 65
_space_group_name_Hall '-C 2 2'
loop_
_atom_site_label
_atom_site_type_symbol
_atom_site_fract_x
_atom_site_fract_y
_atom_site_fract_z
Mn1 Mn 0.2500 0.2500 0.0000
Si1 Si 0.0000 0.0000 0.5000
Tc1 Tc 0.0000 0.5000 0.5000
```

---

[18]
Density functional theory data (PBE-GGA) for crystalline MnSiTc2 at its relaxed geometry.

Raw formation energy = -0.02 eV/atom
Electronic total energy = -106.2 eV per cell

Cell and atoms, written as CIF:
```
data_MnSiTc2
_chemical_formula_sum 'Mn3 Si3 Tc6'
_cell_length_a 2.7488
_cell_length_b 2.7488
_cell_length_c 24.5194
_cell_angle_alpha 90.00
_cell_angle_beta 90.00
_cell_angle_gamma 120.00
_space_group_name_H-M_alt 'R -3 m'
_space_group_IT_number 166
_space_group_name_Hall '-R 3 2"'
loop_
_atom_site_label
_atom_site_type_symbol
_atom_site_fract_x
_atom_site_fract_y
_atom_site_fract_z
Mn1 Mn 0.0000 0.0000 0.0000
Si1 Si 0.0000 0.0000 0.5000
Tc1 Tc 0.0000 0.0000 0.2499
```

---

[19]
Density functional theory data (PBE-GGA) for crystalline Mn2SiTc at its relaxed geometry.

Raw formation energy = -0.16 eV/atom
Electronic total energy = -34.8 eV per cell

Cell and atoms, written as CIF:
```
data_Mn2SiTc
_chemical_formula_sum 'Mn2 Si1 Tc1'
_cell_length_a 3.6504
_cell_length_b 3.6504
_cell_length_c 3.8046
_cell_angle_alpha 90.00
_cell_angle_beta 90.00
_cell_angle_gamma 90.00
_space_group_name_H-M_alt 'P 4/m m m'
_space_group_IT_number 123
_space_group_name_Hall '-P 4 2'
loop_
_atom_site_label
_atom_site_type_symbol
_atom_site_fract_x
_atom_site_fract_y
_atom_site_fract_z
Mn1 Mn 0.0000 0.5000 0.0000
Si1 Si 0.0000 0.0000 0.5000
Tc1 Tc 0.5000 0.5000 0.5000
```

---

[20]
Density functional theory data (PBE-GGA) for crystalline MnSiTc3 at its relaxed geometry.

Raw formation energy = 1.26 eV/atom
Electronic total energy = -39.4 eV per cell
Energy above the lowest structure with this stoichiometry = 0.43 eV per formula unit

Cell and atoms, written as CIF:
```
data_MnSiTc3
_chemical_formula_sum 'Mn1 Si1 Tc3'
_cell_length_a 4.3839
_cell_length_b 4.3839
_cell_length_c 4.3839
_cell_angle_alpha 90.00
_cell_angle_beta 90.00
_cell_angle_gamma 90.00
_space_group_name_H-M_alt 'P m -3 m'
_space_group_IT_number 221
_space_group_name_Hall '-P 4 2 3'
loop_
_atom_site_label
_atom_site_type_symbol
_atom_site_fract_x
_atom_site_fract_y
_atom_site_fract_z
Mn1 Mn 0.0000 0.0000 0.0000
Si1 Si 0.5000 0.5000 0.5000
Tc1 Tc 0.0000 0.0000 0.5000
```